(1)
Here is a relaxed ZnHg2Pb5 crystal from Alexandria. Energies are from PBE.

The structure in POSCAR format:
```
ZnHg2Pb5
1.0
1.804 -5.779 0.000
1.804 5.779 0.000
0.000 0.000 21.558
Zn Hg Pb
2 4 10
direct
0.240 0.760 0.750
0.760 0.240 0.250
0.180 0.820 0.158
0.180 0.820 0.342
0.820 0.180 0.658
0.820 0.180 0.842
0.087 0.913 0.612
0.087 0.913 0.888
0.365 0.635 0.530
0.365 0.635 0.970
0.480 0.520 0.250
0.520 0.480 0.750
0.635 0.365 0.030
0.635 0.365 0.470
0.913 0.087 0.112
0.913 0.087 0.388
```

Calculated values
* space-group type: Cmcm (63)
* formation enthalpy at 0 K: 0.043 eV/atom
* density of states at the Fermi level: 3.37 states/eV/f.u.
* E: -2.510 eV/atom



(2)
Here is a relaxed Ca4Zn2CdGa crystal from Alexandria. Energies are from PBE.

The structure in POSCAR format:
```
Ca4Zn2CdGa
1.0
2.625 1.516 8.627
-2.625 1.516 8.627
0.000 -3.031 8.627
Ca Zn Cd Ga
4 2 1 1
direct
0.122 0.122 0.122
0.372 0.372 0.372
0.628 0.628 0.628
0.878 0.878 0.878
0.248 0.248 0.248
0.752 0.752 0.752
0.500 0.500 0.500
0.000 0.000 0.000
```

Calculated values
* space-group type: R-3m (166)
* formation enthalpy at 0 K: -0.323 eV/atom
* density of states at the Fermi level: 5.16 states/eV/f.u.
* E: -2.135 eV/atom



(3)
Here is a relaxed AgW2Br crystal from Alexandria. Energies are from PBE.

The structure in POSCAR format:
```
AgW2Br
1.0
2.847 0.000 0.000
0.000 2.847 0.000
0.000 0.000 8.551
Ag W Br
1 2 1
direct
0.000 0.000 0.000
0.500 0.500 0.251
0.500 0.500 0.749
0.000 0.000 0.500
```

Calculated values
* space-group type: P4/mmm (123)
* density of states at the Fermi level: 4.26 states/eV/f.u.
* excess energy over the best structure of this formula in the dataset: 782 meV per atom
* E: -6.329 eV/atom
* formation energy without anion corrections: 493.6 kJ/mol of formula units



(4)
Here is a relaxed Ca3TmPb12 crystal from Alexandria. Energies are from PBE.

The structure in POSCAR format:
```
Ca3TmPb12
1.0
4.907 0.000 0.000
0.000 4.907 0.000
0.000 0.000 19.808
Ca Tm Pb
3 1 12
direct
0.000 0.000 0.000
0.000 0.000 0.253
0.000 0.000 0.747
0.000 0.000 0.500
0.000 0.500 0.126
0.000 0.500 0.378
0.000 0.500 0.622
0.000 0.500 0.874
0.500 0.000 0.126
0.500 0.000 0.378
0.500 0.000 0.622
0.500 0.000 0.874
0.500 0.500 0.000
0.500 0.500 0.251
0.500 0.500 0.500
0.500 0.500 0.749
```

Calculated values
* space-group type: P4/mmm (123)
* formation enthalpy at 0 K: -0.294 eV/atom
* density of states at the Fermi level: 10.00 states/eV/f.u.
* E: -3.730 eV/atom



(5)
Here is a relaxed Ti3Zn2Hg2 crystal from Alexandria. Energies are from PBE.

The structure in POSCAR format:
```
Ti3Zn2Hg2
1.0
2.098 -9.694 0.000
2.098 9.694 0.000
0.000 0.000 2.988
Ti Zn Hg
3 2 2
direct
0.000 0.000 0.000
0.157 0.843 0.000
0.843 0.157 0.000
0.282 0.718 0.500
0.718 0.282 0.500
0.422 0.578 0.500
0.578 0.422 0.500
```

Calculated values
* space-group type: Cmmm (65)
* formation enthalpy at 0 K: -0.062 eV/atom
* density of states at the Fermi level: 7.08 states/eV/f.u.
* E: -3.896 eV/atom



(6)
Here is a relaxed InNiGe crystal from Alexandria. Energies are from PBE.

The structure in POSCAR format:
```
InNiGe
1.0
4.060 0.000 0.000
-2.030 3.516 0.000
0.000 0.000 3.809
In Ni Ge
1 1 1
direct
0.000 0.000 0.000
0.333 0.667 0.500
0.667 0.333 0.500
```

Calculated values
* space-group type: P-6m2 (187)
* formation enthalpy at 0 K: 0.047 eV/atom
* density of states at the Fermi level: 1.85 states/eV/f.u.
* E: -4.332 eV/atom



(7)
Here is a relaxed RbSi2Te8As crystal from Alexandria. Energies are from PBE.

The structure in POSCAR format:
```
RbSi2Te8As
1.0
3.148 1.817 13.633
-3.148 1.817 13.633
0.000 -3.635 13.633
Rb Si Te As
1 2 8 1
direct
0.000 0.000 0.000
0.243 0.243 0.243
0.757 0.757 0.757
0.169 0.783 0.387
0.217 0.613 0.831
0.302 0.302 0.302
0.387 0.169 0.783
0.613 0.831 0.217
0.698 0.698 0.698
0.783 0.387 0.169
0.831 0.217 0.613
0.500 0.500 0.500
```

Calculated values
* space-group type: R-3 (148)
* density of states at the Fermi level: 4.98 states/eV/f.u.
* E: -3.475 eV/atom
* formation energy without anion corrections: -10.4 kJ/mol of formula units



(8)
Here is a relaxed Ce2TlGaOs crystal from Alexandria. Energies are from PBE.

The structure in POSCAR format:
```
Ce2TlGaOs
1.0
7.708 0.000 0.000
0.000 4.247 0.000
-2.634 0.000 7.512
Ce Tl Ga Os
4 2 2 2
direct
0.120 0.250 0.335
0.283 0.250 0.975
0.717 0.750 0.025
0.880 0.750 0.665
0.311 0.750 0.668
0.689 0.250 0.332
0.446 0.750 0.339
0.554 0.250 0.661
0.128 0.750 0.103
0.872 0.250 0.897
```

Calculated values
* space-group type: P2_1/m (11)
* formation enthalpy at 0 K: -0.281 eV/atom
* density of states at the Fermi level: 8.35 states/eV/f.u.
* E: -5.979 eV/atom